First-principles (PBE) data for NaCdSb2 after structural relaxation, as listed in Alexandria.

- Fermi-level density of states: 1.09 states/eV per cell
- Formation energy from raw total energies: -0.13 eV per atom

Cell lengths 3.2652, 6.0289, 6.0289 Å; angles 112.08, 90.00, 90.00 degrees
Closest atoms and distances in Å follow each position.
Atoms (fractional coordinates):
Sb  0.5000  0.4672  0.0766  2 Cd 3.00-3.04, 3 Sb 3.07-3.27
Cd  0.5000  0.4330  0.5670  4 Sb 3.00-3.04, 2 Cd 3.27
Sb  0.5000  0.9234  0.5328  2 Cd 3.00-3.04, 3 Sb 3.07-3.27
Na  0.0000  0.9565  0.0435  2 Na 3.27, 8 Sb 3.42-3.44